# 1
Density functional theory data (PBE) for a geometry-optimized CaZr2Sc structure.

The magnetic moment is 0.00 μB/cell. For the formation energy, the calculation gives 288.9 meV/atom. For the energy above the most stable polymorph in this dataset, the calculation gives 131 meV per atom.

The structure belongs to space group I4/mmm (No. 139); the cell edges are 4.609, 4.609 and 9.626 Å and the angles 90.00°, 90.00° and 90.00°. The distinct sites, in fractional coordinates, are Ca at (0.000, 0.000, 0.000), Zr at (0.000, 0.500, 0.250) and Sc at (0.000, 0.000, 0.500).


# 2
Density functional theory data (PBE) for a geometry-optimized Ca2ZrSc structure.

The magnetic moment is 2.30 μB/cell. For the formation energy, the calculation gives 355.8 meV/atom. For the energy above the most stable polymorph in this dataset, the calculation gives 206 meV per atom.

The structure belongs to space group Cmmm (No. 65); the cell edges are 3.788, 5.424 and 11.586 Å and the angles 90.00°, 90.00° and 90.00°. The distinct sites, in fractional coordinates, are Ca at (0.000, 0.000, 0.246), Zr at (0.000, 0.500, 0.000) and Sc at (0.000, 0.500, 0.500).


# 3
Density functional theory data (PBE) for a geometry-optimized CaZr2Sc structure.

The magnetic moment is 0.02 μB/cell. For the formation energy, the calculation gives 312.1 meV/atom. For the energy above the most stable polymorph in this dataset, the calculation gives 154 meV per atom.

The structure belongs to space group Imm2 (No. 44); the cell edges are 3.279, 5.819 and 11.068 Å and the angles 90.00°, 90.00° and 90.00°. The distinct sites, in fractional coordinates, are Ca at (0.000, 0.000, 0.000), Zr at (0.000, 0.000, 0.511), Zr at (0.000, 0.500, 0.232) and Sc at (0.000, 0.500, 0.772).


# 4
Density functional theory data (PBE) for a geometry-optimized CaZr2Sc structure.

The magnetic moment is 0.00 μB/cell. For the formation energy, the calculation gives 291.1 meV/atom. For the energy above the most stable polymorph in this dataset, the calculation gives 133 meV per atom.

The structure belongs to space group P4/mmm (No. 123); the cell edges are 4.589, 4.589 and 4.842 Å and the angles 90.00°, 90.00° and 90.00°. The distinct sites, in fractional coordinates, are Ca at (0.000, 0.000, 0.000), Zr at (0.000, 0.500, 0.500) and Sc at (0.500, 0.500, 0.000).


# 5
Density functional theory data (PBE) for a geometry-optimized CaZr2Sc structure.

The magnetic moment is 0.00 μB/cell. For the formation energy, the calculation gives 193.5 meV/atom. For the energy above the most stable polymorph in this dataset, the calculation gives 36 meV per atom.

The structure belongs to space group P4mm (No. 99); the cell edges are 3.758, 3.758 and 7.838 Å and the angles 90.00°, 90.00° and 90.00°. The distinct sites, in fractional coordinates, are Ca at (0.000, 0.000, 0.000), Zr at (0.000, 0.000, 0.550), Zr at (0.500, 0.500, 0.712) and Sc at (0.500, 0.500, 0.324).


# 6
Density functional theory data (PBE) for a geometry-optimized Ca2ZrSc structure.

The magnetic moment is 0.00 μB/cell. For the formation energy, the calculation gives 464.4 meV/atom. For the energy above the most stable polymorph in this dataset, the calculation gives 315 meV per atom.

The structure belongs to space group P4/mmm (No. 123); the cell edges are 5.546, 5.546 and 3.889 Å and the angles 90.00°, 90.00° and 90.00°. The distinct sites, in fractional coordinates, are Ca at (0.000, 0.500, 0.000), Zr at (0.000, 0.000, 0.500) and Sc at (0.500, 0.500, 0.500).


# 7
Density functional theory data (PBE) for a geometry-optimized CaZr2Sc structure.

The magnetic moment is 0.00 μB/cell. For the formation energy, the calculation gives 182.2 meV/atom. For the energy above the most stable polymorph in this dataset, the calculation gives 24 meV per atom.

The structure belongs to space group Pm (No. 6); the cell edges are 3.258, 5.031 and 6.684 Å and the angles 90.00°, 103.97° and 90.00°. The distinct sites, in fractional coordinates, are Ca at (0.000, 0.000, 0.000), Zr at (0.336, 0.500, 0.678), Zr at (0.748, 0.000, 0.501) and Sc at (0.630, 0.500, 0.261).


# 8
Density functional theory data (PBE) for a geometry-optimized Ca2ZrSc structure.

The magnetic moment is 1.27 μB/cell. For the formation energy, the calculation gives 366.3 meV/atom. For the energy above the most stable polymorph in this dataset, the calculation gives 217 meV per atom.

The structure belongs to space group Pmmm (No. 47); the cell edges are 3.618, 5.576 and 5.868 Å and the angles 90.00°, 90.00° and 90.00°. The distinct sites, in fractional coordinates, are Ca at (0.000, 0.000, 0.000), Ca at (0.500, 0.500, 0.000), Zr at (0.000, 0.500, 0.500) and Sc at (0.500, 0.000, 0.500).


# 9
Density functional theory data (PBE) for a geometry-optimized Ca2ZrSc structure.

The magnetic moment is 5.56 μB/cell. For the formation energy, the calculation gives 365.2 meV/atom. For the energy above the most stable polymorph in this dataset, the calculation gives 216 meV per atom.

The structure belongs to space group I-4m2 (No. 119); the cell edges are 5.056, 5.056 and 9.472 Å and the angles 90.00°, 90.00° and 90.00°. The distinct sites, in fractional coordinates, are Ca at (0.000, 0.000, 0.000), Ca at (0.000, 0.500, 0.250), Zr at (0.000, 0.000, 0.500) and Sc at (0.000, 0.500, 0.750).


# 10
Density functional theory data (PBE) for a geometry-optimized Ca2ZrSc structure.

The magnetic moment is 3.27 μB/cell. For the formation energy, the calculation gives 360.3 meV/atom. For the energy above the most stable polymorph in this dataset, the calculation gives 211 meV per atom.

The structure belongs to space group C2/m (No. 12); the cell edges are 6.675, 11.679 and 3.316 Å and the angles 90.00°, 112.94° and 90.00°. The distinct sites, in fractional coordinates, are Ca at (0.250, 0.250, 0.000), Zr at (0.000, 0.000, 0.500) and Sc at (0.000, 0.500, 0.500).


# 11
Density functional theory data (PBE) for a geometry-optimized Ca2ZrSc structure.

The magnetic moment is 7.50 μB/cell. For the formation energy, the calculation gives 376.7 meV/atom. For the energy above the most stable polymorph in this dataset, the calculation gives 227 meV per atom.

The structure belongs to space group F-43m (No. 216); the cell edges are 7.812, 7.812 and 7.812 Å and the angles 90.00°, 90.00° and 90.00°. The distinct sites, in fractional coordinates, are Ca at (0.000, 0.000, 0.000), Ca at (0.250, 0.250, 0.250), Zr at (0.000, 0.000, 0.500) and Sc at (0.250, 0.250, 0.750).


# 12
Density functional theory data (PBE) for a geometry-optimized Ca2ZrSc structure.

The magnetic moment is 0.00 μB/cell. For the formation energy, the calculation gives 457.6 meV/atom. For the energy above the most stable polymorph in this dataset, the calculation gives 308 meV per atom.

The structure belongs to space group Fm-3m (No. 225); the cell edges are 7.817, 7.817 and 7.817 Å and the angles 90.00°, 90.00° and 90.00°. The distinct sites, in fractional coordinates, are Ca at (0.250, 0.250, 0.250), Zr at (0.000, 0.000, 0.000) and Sc at (0.000, 0.000, 0.500).